# 1
Here is crystalline Mg2Rh3 at its relaxed geometry from the Alexandria database. Energies are from PBE.

Output
Formation energy, eV per atom: -0.269
Density, g/cm3: 7.78
E above lowest polymorph, meV per atom: 0

Unit cell a=9.1714 b=13.3384 c=4.9852 alpha=90.00 beta=90.00 gamma=90.00
Closest atoms and distances in Å follow each position.
Space group Fdd2 (No. 43)
Asymmetric unit:
Mg 0.0261 0.1970 0.0000 (multiplicity 16)  9 Rh 2.64-2.95, 2 Mg 2.91
Rh 0.0000 0.0000 0.0522 (multiplicity 8)  6 Mg 2.64-2.81, 4 Rh 2.73-2.94
Rh 0.0398 0.0975 0.5283 (multiplicity 16)  6 Mg 2.64-2.95, 5 Rh 2.70-2.94



# 2
Here is crystalline CaEr2Al6 at its relaxed geometry from the Alexandria database. Energies are from PBE.

Output
Formation energy, eV per atom: -0.398
Density, g/cm3: 4.70

Unit cell a=7.9295 b=7.9295 c=3.4813 alpha=90.00 beta=90.00 gamma=120.00
Closest atoms and distances in Å follow each position.
Space group P6/mmm (No. 191)
Asymmetric unit:
Ca 0.0000 0.0000 0.0000 (multiplicity 1)  12 Al 3.18, 2 Ca 3.48
Er 0.3333 0.6667 0.0000 (multiplicity 2)  12 Al 3.16, 2 Er 3.48
Al 0.0000 0.3353 0.5000 (multiplicity 6)  3 Al 2.61-2.66



# 3
Here is crystalline Ca2PbS3 at its relaxed geometry from the Alexandria database. Energies are from PBE.

Output
Formation energy without anion corrections, meV per atom: -1601
Density, g/cm3: 4.30

Unit cell a=4.1002 b=5.8275 c=12.3941 alpha=90.00 beta=90.00 gamma=90.00
Closest atoms and distances in Å follow each position.
Space group Immm (No. 71)
Asymmetric unit:
Ca 0.0000 0.0000 0.1655 (multiplicity 4)  6 S 2.84-2.92
Pb 0.0000 0.0000 0.5000 (multiplicity 2)  6 S 2.91-2.99
S 0.0000 0.5000 0.1758 (multiplicity 4)  4 Ca 2.84-2.92, 2 Pb 2.99
S 0.0000 0.5000 0.5000 (multiplicity 2)  4 Ca 2.90, 2 Pb 2.91



| no. | magnetization (μB per cell) | total DFT energy (no corrections) (eV/f.u.) |
| --- | --- | --- |
| 1 | 0.00 | -26.6 |
| 2 | 0.00 | -37.2 |
| 3 | 0.00 | -29.7 |